Record 1
The following is a PBE calculation of a relaxed structure of TlGeCl3, from Alexandria. Values from VASP.

Structure (Quantum ESPRESSO input):
```
&SYSTEM
  ibrav = 0, nat = 10, ntyp = 3
/
ATOMIC_SPECIES
Tl 204.38 Tl.upf
Ge 72.64 Ge.upf
Cl 35.45 Cl.upf
CELL_PARAMETERS angstrom
-2.7636 3.7213 0.1455
-5.8397 -4.3030 -0.8630
-0.7445 -0.8922 9.4858
ATOMIC_POSITIONS crystal
Tl 0.2565 0.2500 0.1502
Tl 0.7435 0.7500 0.8498
Ge 0.8744 0.2500 0.6666
Ge 0.1256 0.7500 0.3334
Cl 0.2091 0.0049 0.6808
Cl 0.7909 0.9951 0.3192
Cl 0.2091 0.4951 0.6808
Cl 0.7909 0.5049 0.3192
Cl 0.7797 0.2500 0.9168
Cl 0.2203 0.7500 0.0832
```


Record 2
The following is a PBE calculation of a relaxed structure of PmNd2SmHo4, from Alexandria. Values from VASP.

Structure (Quantum ESPRESSO input):
```
&SYSTEM
  ibrav = 0, nat = 16, ntyp = 4
/
ATOMIC_SPECIES
Pm 145.00 Pm.upf
Nd 144.24 Nd.upf
Sm 150.36 Sm.upf
Ho 164.93 Ho.upf
CELL_PARAMETERS angstrom
-7.0490 -4.7974 4.2919
4.0474 -8.3901 -2.0852
5.2476 10.0817 3.4512
ATOMIC_POSITIONS crystal
Pm 0.5000 0.5000 0.5000
Pm 0.0000 0.0000 0.0000
Nd 0.5000 0.0000 0.0000
Nd 0.5000 0.0000 0.5000
Nd 0.0000 0.0000 0.5000
Nd 0.5000 0.5000 0.0000
Sm 0.0000 0.5000 0.0000
Sm 0.0000 0.5000 0.5000
Ho 0.2487 0.7501 0.9994
Ho 0.7499 0.2513 0.5006
Ho 0.2501 0.7487 0.4994
Ho 0.7513 0.2499 0.0006
Ho 0.7499 0.7491 0.9987
Ho 0.7509 0.7501 0.5013
Ho 0.2491 0.2499 0.4987
Ho 0.2501 0.2509 0.0013
```


Record 3
The following is a PBE calculation of a relaxed structure of TeRuW2, from Alexandria. Values from VASP.

Structure (Quantum ESPRESSO input):
```
&SYSTEM
  ibrav = 0, nat = 4, ntyp = 3
/
ATOMIC_SPECIES
Ru 101.07 Ru.upf
Te 127.60 Te.upf
W 183.84 W.upf
CELL_PARAMETERS angstrom
-0.3047 5.3587 -0.4479
-0.5972 2.0493 -4.9450
-2.0682 -3.2062 3.8015
ATOMIC_POSITIONS crystal
Ru 0.4869 0.4869 0.0000
Te 0.2557 0.7557 0.5000
W 0.0160 0.0160 0.0000
W 0.7414 0.2414 0.5000
```


Number 1: VASP energy -33.9 eV/cell. Number 2: VASP energy -68.1 eV/cell. Number 3: VASP energy -36.0 eV/cell.